{"formula": "BaTlAs", "functional": "meta-GGA SCAN", "state": "PBEsol geometry", "energy_ev_per_atom": -44.667, "lattice_angstrom": [[5.345, 0.000, 0.000], [2.672, 4.629, 0.000], [2.672, 1.543, 4.364]], "species": ["As", "Tl", "Ba"], "frac_coords": [[0.250, 0.250, 0.250], [0.500, 0.500, 0.500], [0.000, 0.000, 0.000]]}

{"formula": "BaAs2W2", "functional": "meta-GGA SCAN", "state": "PBEsol geometry", "energy_ev_per_atom": -43.794, "lattice_angstrom": [[-0.158, -1.162, -4.708], [-2.372, -4.090, 1.089], [-2.681, 4.806, 1.404]], "species": ["As", "As", "Ba", "W", "W"], "frac_coords": [[0.250, 0.750, 0.500], [0.750, 0.250, 0.500], [0.000, 0.000, 0.000], [0.372, 0.372, 0.744], [0.628, 0.628, 0.256]]}

{"formula": "BaAsW2", "functional": "meta-GGA SCAN", "state": "PBEsol geometry", "energy_ev_per_atom": -48.074, "lattice_angstrom": [[2.815, 0.000, 0.000], [0.000, 5.765, 0.000], [0.000, -2.882, 5.120]], "species": ["As", "Ba", "W", "W"], "frac_coords": [[0.500, 0.000, 0.000], [0.500, 0.500, 0.000], [0.000, 0.500, 0.500], [0.000, 0.000, 0.500]]}

{"formula": "BaAsW2", "functional": "meta-GGA SCAN", "state": "PBEsol geometry", "energy_ev_per_atom": -48.572, "lattice_angstrom": [[2.992, -0.025, 0.000], [-1.073, 2.794, 0.000], [0.000, 0.000, 9.508]], "species": ["As", "Ba", "W", "W"], "frac_coords": [[0.500, 0.500, 0.500], [0.500, 0.500, 0.000], [0.000, 0.000, 0.304], [0.000, 0.000, 0.696]]}

{"formula": "BaAsW2", "functional": "meta-GGA SCAN", "state": "PBEsol geometry", "energy_ev_per_atom": -48.720, "lattice_angstrom": [[2.816, 0.000, 0.000], [0.000, 5.341, 0.000], [-1.408, -2.670, 5.427]], "species": ["As", "Ba", "W", "W"], "frac_coords": [[0.500, 0.000, 0.000], [0.000, 0.500, 0.000], [0.791, 0.791, 0.583], [0.209, 0.209, 0.417]]}

{"formula": "BaAsW2", "functional": "meta-GGA SCAN", "state": "PBEsol geometry", "energy_ev_per_atom": -48.361, "lattice_angstrom": [[-2.545, 0.947, -0.734], [-1.816, -5.012, -0.166], [0.799, 2.360, 5.661]], "species": ["As", "Ba", "W", "W"], "frac_coords": [[0.500, 0.000, 0.000], [0.000, 0.500, 0.000], [0.000, 0.000, 0.500], [0.500, 0.500, 0.500]]}

{"formula": "BaYAs2", "functional": "meta-GGA SCAN", "state": "PBEsol geometry", "energy_ev_per_atom": -28.067, "lattice_angstrom": [[3.349, 0.000, 0.000], [0.000, 3.826, 0.000], [0.000, 0.000, 7.928]], "species": ["Y", "As", "As", "Ba"], "frac_coords": [[0.500, 0.500, 0.000], [0.000, 0.000, 0.217], [0.000, 0.000, 0.783], [0.500, 0.500, 0.500]]}

{"formula": "Ba2YAs", "functional": "meta-GGA SCAN", "state": "PBEsol geometry", "energy_ev_per_atom": -32.128, "lattice_angstrom": [[-3.566, 0.586, -2.414], [0.008, -1.128, -4.197], [-4.525, -9.835, 0.384]], "species": ["Y", "As", "Ba", "Ba"], "frac_coords": [[0.500, 0.500, 0.500], [0.000, 0.000, 0.000], [0.274, 0.274, 0.178], [0.726, 0.726, 0.822]]}

{"formula": "BaYAs2", "functional": "meta-GGA SCAN", "state": "PBEsol geometry", "energy_ev_per_atom": -28.244, "lattice_angstrom": [[4.297, 0.000, 0.000], [2.149, 3.721, 0.000], [2.149, 1.240, 7.303]], "species": ["Y", "As", "As", "Ba"], "frac_coords": [[0.500, 0.500, 0.500], [0.764, 0.764, 0.707], [0.236, 0.236, 0.293], [0.000, 0.000, 0.000]]}

{"formula": "Ba2YAs", "functional": "meta-GGA SCAN", "state": "PBEsol geometry", "energy_ev_per_atom": -32.416, "lattice_angstrom": [[-3.831, -0.727, 0.418], [-0.349, -0.395, -3.886], [1.879, -9.450, 0.793]], "species": ["Y", "As", "Ba", "Ba"], "frac_coords": [[0.000, 0.000, 0.592], [0.500, 0.500, 0.678], [0.000, 0.000, 0.930], [0.500, 0.500, 0.301]]}

{"formula": "BaZn2As", "functional": "meta-GGA SCAN", "state": "PBEsol geometry", "energy_ev_per_atom": -21.592, "lattice_angstrom": [[-0.110, -0.099, -3.126], [-5.399, -1.206, 0.349], [1.539, 6.061, 1.260]], "species": ["As", "Ba", "Zn", "Zn"], "frac_coords": [[0.000, 0.500, 0.000], [0.500, 0.000, 0.000], [0.500, 0.500, 0.500], [0.000, 0.000, 0.500]]}

{"formula": "Ba2ZnAs", "functional": "meta-GGA SCAN", "state": "PBEsol geometry", "energy_ev_per_atom": -28.941, "lattice_angstrom": [[4.462, 0.000, 0.038], [0.000, 4.739, 0.000], [-0.053, -2.370, 6.073]], "species": ["As", "Ba", "Ba", "Zn"], "frac_coords": [[0.875, 0.692, 0.384], [0.875, 0.985, 0.970], [0.375, 0.264, 0.528], [0.375, 0.559, 0.118]]}